No. 1
A plane-wave DFT calculation with PBE was carried out for BaBiH6Pd2 after structural relaxation.

Values from the calculation:
* E: -77.2 eV for the cell shown
* density of states at the Fermi level: 0.11 states/eV/atom

a = 7.7677 Å, b = 7.7677 Å, c = 4.8348 Å
α = 86.67°, β = 86.67°, γ = 111.04°
Closest atoms and distances in Å follow each position.
Fractional coordinates of all 20 atoms:
Ba 0.1676 0.8324 0.2500  10 H 2.71-2.93
Ba 0.8324 0.1676 0.7500  10 H 2.71-2.93
Bi 0.5970 0.4030 0.2500  2 H 2.30
Bi 0.4030 0.5970 0.7500  2 H 2.30
H 0.9821 0.3305 0.2039  1 Pd 1.65
H 0.6695 0.0179 0.2961  1 Pd 1.65
H 0.0179 0.6695 0.7961  1 Pd 1.65
H 0.3305 0.9821 0.7039  1 Pd 1.65
H 0.1598 0.1677 0.0218  2 Pd 1.72-1.83
H 0.8323 0.8402 0.4782  2 Pd 1.72-1.83
H 0.8402 0.8323 0.9782  2 Pd 1.72-1.83
H 0.1677 0.1598 0.5218  2 Pd 1.72-1.83
H 0.1777 0.5019 0.4447  1 Pd 1.67
H 0.4981 0.8223 0.0553  1 Pd 1.67
H 0.8223 0.4981 0.5553  1 Pd 1.67
H 0.5019 0.1777 0.9447  1 Pd 1.67
Pd 0.3402 0.1949 0.7449  4 H 1.65-1.83
Pd 0.8051 0.6598 0.7551  4 H 1.65-1.83
Pd 0.6598 0.8051 0.2551  4 H 1.65-1.83
Pd 0.1949 0.3402 0.2449  4 H 1.65-1.83

---

No. 2
A plane-wave DFT calculation with PBE was carried out for Ba2Bi2H4Pd after structural relaxation.

Values from the calculation:
* E: -32.4 eV for the cell shown
* density of states at the Fermi level: 0.60 states/eV/atom

a = 6.5359 Å, b = 6.5359 Å, c = 6.5359 Å
α = 95.21°, β = 117.04°, γ = 117.04°
Closest atoms and distances in Å follow each position.
Fractional coordinates of all 9 atoms:
Ba 0.5000 0.7500 0.2500  8 H 3.35, 4 Bi 3.49
Ba 0.5000 0.2500 0.7500  8 H 3.35, 4 Bi 3.49
Bi 0.0000 0.6692 0.6692  1 Pd 2.92, 1 Bi 2.98
Bi 0.0000 0.3308 0.3308  1 Pd 2.92, 1 Bi 2.98
H 0.0000 0.8264 0.1736  1 Pd 1.68
H 0.6527 0.8264 0.8264  1 Pd 1.68
H 0.0000 0.1736 0.8264  1 Pd 1.68
H 0.3473 0.1736 0.1736  1 Pd 1.68
Pd 0.0000 0.0000 0.0000  4 H 1.68

---

No. 3
A plane-wave DFT calculation with PBE was carried out for Ba2BiHPd6 after structural relaxation.

Values from the calculation:
* E: -46.4 eV for the cell shown
* density of states at the Fermi level: 0.55 states/eV/atom

a = 6.7258 Å, b = 6.7273 Å, c = 6.7542 Å
α = 59.75°, β = 59.76°, γ = 89.98°
Closest atoms and distances in Å follow each position.
Fractional coordinates of all 10 atoms:
Ba 0.7484 0.2516 0.5001  12 Pd 3.36-3.40
Ba 0.2516 0.7484 0.4999  12 Pd 3.36-3.40
Bi 0.0000 0.0000 0.0000  6 Pd 2.74
H 0.5000 0.5000 0.0000  6 Pd 2.00-2.02
Pd 0.2871 0.2871 0.4223  1 H 2.00
Pd 0.7133 0.7133 0.9970  1 H 2.02
Pd 0.2883 0.7117 0.0000  1 H 2.01
Pd 0.7117 0.2883 0.0000  1 H 2.01
Pd 0.2867 0.2867 0.0030  1 H 2.02
Pd 0.7129 0.7129 0.5777  1 H 2.00

---

No. 4
A plane-wave DFT calculation with PBE was carried out for Ba2BiHPt after structural relaxation.

Values from the calculation:
* E: -20.4 eV for the cell shown
* density of states at the Fermi level: 0.25 states/eV/atom

a = 6.0951 Å, b = 6.0951 Å, c = 3.7877 Å
α = 90.00°, β = 90.00°, γ = 90.00°
Closest atoms and distances in Å follow each position.
Fractional coordinates of all 5 atoms:
H 0.0000 0.0000 0.0000  2 Pt 1.89
Bi 0.5000 0.5000 0.5000  8 Ba 3.59, 2 Bi 3.79
Pt 0.0000 0.0000 0.5000  2 H 1.89
Ba 0.0000 0.5000 0.0000  2 H 3.05
Ba 0.5000 0.0000 0.0000  2 H 3.05

---

No. 5
A plane-wave DFT calculation with PBE was carried out for Rb2BaBiH after structural relaxation.

Values from the calculation:
* E: -13.3 eV for the cell shown

a = 5.4797 Å, b = 5.4797 Å, c = 6.0129 Å
α = 90.00°, β = 90.00°, γ = 90.00°
Closest atoms and distances in Å follow each position.
Fractional coordinates of all 5 atoms:
H 0.0000 0.0000 0.0000  4 Rb 2.74, 2 Ba 3.01
Bi 0.5000 0.5000 0.5000  4 Ba 3.87, 8 Rb 4.07
Rb 0.0000 0.5000 0.0000  2 H 2.74
Rb 0.5000 0.0000 0.0000  2 H 2.74
Ba 0.0000 0.0000 0.5000  2 H 3.01

---

No. 6
A plane-wave DFT calculation with PBE was carried out for RbBa2BiH after structural relaxation.

Values from the calculation:
* E: -14.3 eV for the cell shown
* density of states at the Fermi level: 0.56 states/eV/atom

a = 5.6909 Å, b = 5.6909 Å, c = 5.4613 Å
α = 90.00°, β = 90.00°, γ = 90.00°
Closest atoms and distances in Å follow each position.
Fractional coordinates of all 5 atoms:
H 0.0000 0.0000 0.0000  2 Rb 2.73, 4 Ba 2.85
Bi 0.5000 0.5000 0.5000  8 Ba 3.94, 4 Rb 4.02
Rb 0.0000 0.0000 0.5000  2 H 2.73
Ba 0.0000 0.5000 0.0000  2 H 2.85
Ba 0.5000 0.0000 0.0000  2 H 2.85

---

Question: Look up the E of the fourth one.
Answer: -20.4 eV for the cell shown

---

Question: Number 1 is which compound?
Answer: BaBiH6Pd2

---

Question: Which of these has the highest E?
Answer: Rb2BaBiH

---

Question: Among the records above, which one has the highest E?
Answer: Rb2BaBiH